1.
Computed, not measured: crystalline Pu3Ni2As3 at its relaxed geometry at the GGA-PBE level of DFT.

It has space group Cmcm (No. 63), with a = 4.110 Å, b = 10.663 Å, c = 14.084 Å, α = 90.00°, β = 90.00° and γ = 90.00°. Symmetry generates all atoms from Pu at (0.000, 0.070, 0.106), Pu at (0.000, 0.362, 0.250), Ni at (0.000, 0.226, 0.598), As at (0.000, 0.345, 0.750) and As at (0.000, 0.364, 0.046).

---

2.
Computed, not measured: crystalline Y3Tl5 at its relaxed geometry at the GGA-PBE level of DFT.

It has space group Cmmm (No. 65), with a = 9.121 Å, b = 9.692 Å, c = 4.949 Å, α = 90.00°, β = 90.00° and γ = 90.00°. Symmetry generates all atoms from Y at (0.000, 0.000, 0.000), Y at (0.000, 0.280, 0.500), Tl at (0.000, 0.500, 0.000), Tl at (0.225, 0.000, 0.500) and Tl at (0.250, 0.250, 0.000).

The distance to the lowest polymorph of the same formula is 1.6 kJ per mole of atoms.

---

3.
Computed, not measured: crystalline CdSn3Se at its relaxed geometry at the GGA-PBE level of DFT.

It has space group Pm-3m (No. 221), with a = 5.496 Å, b = 5.496 Å, c = 5.496 Å, α = 90.00°, β = 90.00° and γ = 90.00°. Symmetry generates all atoms from Cd at (0.000, 0.000, 0.000), Sn at (0.000, 0.000, 0.500) and Se at (0.500, 0.500, 0.500).

The distance to the lowest polymorph of the same formula is 14.2 kJ per mole of atoms. The value obtained for the formation energy without anion corrections is 0.5335 eV per atom.

---

4.
Computed, not measured: crystalline MgAgSe2N at its relaxed geometry at the GGA-PBE level of DFT.

It has space group P4/mmm (No. 123), with a = 5.196 Å, b = 5.196 Å, c = 3.987 Å, α = 90.00°, β = 90.00° and γ = 90.00°. Symmetry generates all atoms from Mg at (0.000, 0.000, 0.000), Ag at (0.500, 0.500, 0.500), Se at (0.000, 0.500, 0.000) and N at (0.000, 0.000, 0.500).

The distance to the lowest polymorph of the same formula is 0.0 kJ per mole of atoms. The value obtained for the formation energy without anion corrections is 0.6926 eV per atom.

---

5.
Computed, not measured: crystalline Ca2LaSc at its relaxed geometry at the GGA-PBE level of DFT.

It has space group P2/m (No. 10), with a = 3.536 Å, b = 6.081 Å, c = 6.553 Å, α = 90.00°, β = 96.56° and γ = 90.00°. Symmetry generates all atoms from Ca at (0.225, 0.000, 0.259), La at (0.500, 0.500, 0.000) and Sc at (0.000, 0.500, 0.500).

The distance to the lowest polymorph of the same formula is 10.2 kJ per mole of atoms.

---

6.
Computed, not measured: crystalline Nd2AlB10 at its relaxed geometry at the GGA-PBE level of DFT.

It has space group Pbam (No. 55), with a = 5.729 Å, b = 11.382 Å, c = 4.229 Å, α = 90.00°, β = 90.00° and γ = 90.00°. Symmetry generates all atoms from Nd at (0.197, 0.137, 0.000), Al at (0.000, 0.500, 0.500), B at (0.045, 0.308, 0.500), B at (0.122, 0.958, 0.500), B at (0.150, 0.804, 0.500) and B at (0.212, 0.383, 0.199).

---

7.
Computed, not measured: crystalline Ta2CrPb at its relaxed geometry at the GGA-PBE level of DFT.

It has space group Pmmm (No. 47), with a = 3.675 Å, b = 4.380 Å, c = 4.540 Å, α = 90.00°, β = 90.00° and γ = 90.00°. Symmetry generates all atoms from Ta at (0.000, 0.000, 0.000), Ta at (0.500, 0.500, 0.000), Cr at (0.000, 0.500, 0.500) and Pb at (0.500, 0.000, 0.500).

---

8.
Computed, not measured: crystalline Be3CuRe at its relaxed geometry at the GGA-PBE level of DFT.

It has space group Pm-3m (No. 221), with a = 4.210 Å, b = 4.210 Å, c = 4.210 Å, α = 90.00°, β = 90.00° and γ = 90.00°. Symmetry generates all atoms from Be at (0.000, 0.000, 0.500), Cu at (0.500, 0.500, 0.500) and Re at (0.000, 0.000, 0.000).

The distance to the lowest polymorph of the same formula is 38.7 kJ per mole of atoms.

---

9.
Computed, not measured: crystalline TlAsSe2 at its relaxed geometry at the GGA-PBE level of DFT.

It has space group Pm (No. 6), with a = 3.918 Å, b = 4.963 Å, c = 6.559 Å, α = 90.00°, β = 107.28° and γ = 90.00°. Symmetry generates all atoms from Tl at (0.000, 0.000, 0.000), As at (0.770, 0.500, 0.525), Se at (0.405, 0.500, 0.788) and Se at (0.698, 0.000, 0.397).

The value obtained for the formation energy without anion corrections is -0.1289 eV per atom.

---

10.
Computed, not measured: crystalline Th3Si6Pd2Pt at its relaxed geometry at the GGA-PBE level of DFT.

It has space group P-3m1 (No. 164), with a = 5.8595 Å, b = 5.8595 Å, c = 8.0355 Å, α = 90.00°, β = 90.00° and γ = 120.00°. Symmetry generates all atoms from Th at (0.0000, 0.0000, 0.0000), Th at (0.3333, 0.6667, 0.6371), Si at (0.1916, 0.3833, 0.2905), Pd at (0.3333, 0.6667, 0.0301) and Pt at (0.0000, 0.0000, 0.5000).

The value obtained for the formation energy without anion corrections is -0.5176 eV per atom.

---

11.
Computed, not measured: crystalline Zr2InP at its relaxed geometry at the GGA-PBE level of DFT.

It has space group I4/mmm (No. 139), with a = 4.460 Å, b = 4.460 Å, c = 8.000 Å, α = 90.00°, β = 90.00° and γ = 90.00°. Symmetry generates all atoms from Zr at (0.000, 0.500, 0.250), In at (0.000, 0.000, 0.000) and P at (0.000, 0.000, 0.500).

The distance to the lowest polymorph of the same formula is 46.6 kJ per mole of atoms.

---

12.
Computed, not measured: crystalline Ti2SbRuF at its relaxed geometry at the GGA-PBE level of DFT.

It has space group P4/mmm (No. 123), with a = 4.102 Å, b = 4.102 Å, c = 4.587 Å, α = 90.00°, β = 90.00° and γ = 90.00°. Symmetry generates all atoms from Ti at (0.000, 0.500, 0.000), Sb at (0.000, 0.000, 0.500), Ru at (0.500, 0.500, 0.500) and F at (0.500, 0.500, 0.000).

The value obtained for the formation energy without anion corrections is -0.4186 eV per atom.

---

13.
Computed, not measured: crystalline KU4Rh3S12 at its relaxed geometry at the GGA-PBE level of DFT.

It has space group Im-3 (No. 204), with a = 9.656 Å, b = 9.656 Å, c = 9.656 Å, α = 90.00°, β = 90.00° and γ = 90.00°. Symmetry generates all atoms from K at (0.000, 0.000, 0.000), U at (0.250, 0.250, 0.250), Rh at (0.000, 0.000, 0.500) and S at (0.000, 0.163, 0.319).

The value obtained for the formation energy without anion corrections is -0.9123 eV per atom.

---

14.
Computed, not measured: crystalline Ce4In2Hg at its relaxed geometry at the GGA-PBE level of DFT.

It has space group I4/mmm (No. 139), with a = 5.940 Å, b = 5.940 Å, c = 12.695 Å, α = 90.00°, β = 90.00° and γ = 90.00°. Symmetry generates all atoms from Ce at (0.000, 0.500, 0.000), Ce at (0.000, 0.500, 0.250), In at (0.000, 0.000, 0.124) and Hg at (0.000, 0.000, 0.500).

---

15.
Computed, not measured: crystalline KAl2Tc at its relaxed geometry at the GGA-PBE level of DFT.

It has space group Imm2 (No. 44), with a = 2.813 Å, b = 4.362 Å, c = 16.015 Å, α = 90.00°, β = 90.00° and γ = 90.00°. Symmetry generates all atoms from K at (0.000, 0.000, 0.000), Al at (0.000, 0.000, 0.667), Al at (0.000, 0.500, 0.809) and Tc at (0.000, 0.500, 0.299).

The distance to the lowest polymorph of the same formula is 10.9 kJ per mole of atoms.

---

16.
Computed, not measured: crystalline Y3BTe at its relaxed geometry at the GGA-PBE level of DFT.

It has space group Pm-3m (No. 221), with a = 5.029 Å, b = 5.029 Å, c = 5.029 Å, α = 90.00°, β = 90.00° and γ = 90.00°. Symmetry generates all atoms from Y at (0.000, 0.000, 0.500), B at (0.000, 0.000, 0.000) and Te at (0.500, 0.500, 0.500).

The distance to the lowest polymorph of the same formula is 11.4 kJ per mole of atoms. The value obtained for the formation energy without anion corrections is -0.4968 eV per atom.

---

17.
Computed, not measured: crystalline Ce2DyHgC at its relaxed geometry at the GGA-PBE level of DFT.

It has space group P4/mmm (No. 123), with a = 4.928 Å, b = 4.928 Å, c = 4.960 Å, α = 90.00°, β = 90.00° and γ = 90.00°. Symmetry generates all atoms from Ce at (0.000, 0.500, 0.000), Dy at (0.000, 0.000, 0.500), Hg at (0.500, 0.500, 0.500) and C at (0.000, 0.000, 0.000).

---

18.
Computed, not measured: crystalline Nd3ErTm2 at its relaxed geometry at the GGA-PBE level of DFT.

It has space group C2/c (No. 15), with a = 17.843 Å, b = 7.223 Å, c = 6.271 Å, α = 90.00°, β = 103.59° and γ = 90.00°. Symmetry generates all atoms from Nd at (0.000, 0.129, 0.250), Nd at (0.168, 0.125, 0.026), Er at (0.000, 0.378, 0.750) and Tm at (0.166, 0.377, 0.528).

The distance to the lowest polymorph of the same formula is 0.0 kJ per mole of atoms.

---

19.
Computed, not measured: crystalline Pm6TeRu2 at its relaxed geometry at the GGA-PBE level of DFT.

It has space group C2/m (No. 12), with a = 10.334 Å, b = 5.080 Å, c = 9.758 Å, α = 90.00°, β = 98.73° and γ = 90.00°. Symmetry generates all atoms from Pm at (0.033, 0.000, 0.331), Pm at (0.158, 0.500, 0.884), Pm at (0.221, 0.500, 0.359), Te at (0.000, 0.000, 0.000) and Ru at (0.103, 0.500, 0.601).

The value obtained for the formation energy without anion corrections is -0.3620 eV per atom.

---

20.
Computed, not measured: crystalline Rb4Dy at its relaxed geometry at the GGA-PBE level of DFT.

It has space group Pm-3m (No. 221), with a = 7.740 Å, b = 7.740 Å, c = 7.740 Å, α = 90.00°, β = 90.00° and γ = 90.00°. Symmetry generates all atoms from Rb at (0.000, 0.000, 0.000), Rb at (0.000, 0.500, 0.500) and Dy at (0.500, 0.500, 0.500).

---

21.
Computed, not measured: crystalline KCdPt2 at its relaxed geometry at the GGA-PBE level of DFT.

It has space group Fm-3m (No. 225), with a = 6.868 Å, b = 6.868 Å, c = 6.868 Å, α = 90.00°, β = 90.00° and γ = 90.00°. Symmetry generates all atoms from K at (0.000, 0.000, 0.000), Cd at (0.000, 0.000, 0.500) and Pt at (0.250, 0.250, 0.250).

The distance to the lowest polymorph of the same formula is 46.3 kJ per mole of atoms.

---

22.
Computed, not measured: crystalline Zn3HO3 at its relaxed geometry at the GGA-PBE level of DFT.

It has space group Pm-3n (No. 223), with a = 5.674 Å, b = 5.674 Å, c = 5.674 Å, α = 90.00°, β = 90.00° and γ = 90.00°. Symmetry generates all atoms from Zn at (0.000, 0.250, 0.500), H at (0.000, 0.000, 0.000) and O at (0.000, 0.500, 0.250).

---

23.
Computed, not measured: crystalline Tl3TcI2F6 at its relaxed geometry at the GGA-PBE level of DFT.

It has space group C2/m (No. 12), with a = 16.286 Å, b = 7.776 Å, c = 5.425 Å, α = 90.00°, β = 94.35° and γ = 90.00°. Symmetry generates all atoms from Tl at (0.000, 0.000, 0.000), Tl at (0.250, 0.250, 0.500), Tc at (0.000, 0.500, 0.500), I at (0.210, 0.000, 0.992), F at (0.022, 0.321, 0.740) and F at (0.118, 0.500, 0.439).

The value obtained for the formation energy without anion corrections is -1.5807 eV per atom.

---

Summary of electronic total energy in eV per atom
-9.306, -4.201, -2.748, -3.256, -3.627, -6.598, -8.832, -4.290, -3.625, -6.453, -6.679, -6.630, -6.804, -4.149, -4.542, -6.339, -5.468, -4.627, -5.939, -0.992, -3.256, -4.011, -4.230
(order as listed above)